[1]
Material: CsCaV
Method: DFT, PBE
State: optimized geometry

Properties
formation enthalpy at 0 K: 1.64 eV/f.u.
offset from the most stable computed form: 13.5 kJ/mol of formula units
spin magnetization: 0.0 μB per formula unit

a = 4.308 Å, b = 4.843 Å, c = 14.264 Å
α = 80.33°, β = 89.65°, γ = 90.00°
Fractional positions:
Cs: 0.235 0.331 0.341
Cs: 0.765 0.669 0.659
Ca: 0.265 0.055 0.889
Ca: 0.735 0.945 0.111
V: 0.191 0.486 0.029
V: 0.809 0.514 0.971

[2]
Material: CsCaV
Method: DFT, PBE
State: optimized geometry

Properties
formation enthalpy at 0 K: 1.88 eV/f.u.
offset from the most stable computed form: 35.9 kJ/mol of formula units
spin magnetization: 0.0 μB per formula unit

a = 5.591 Å, b = 5.591 Å, c = 12.380 Å
α = 90.20°, β = 90.20°, γ = 60.00°
Fractional positions:
Cs: 0.168 0.168 0.309
Cs: 0.832 0.832 0.691
Ca: 0.166 0.166 0.953
Ca: 0.834 0.834 0.047
V: 0.500 0.500 0.074
V: 0.500 0.500 0.926